No. 1
Here is a relaxed structure of Pr4P2N from Alexandria. Energies are from PBE-GGA.

- final energy (eV/f.u.) = -42.08
- spin magnetization (μB/f.u.) = 0.00
- ρ (g cm⁻³) = 5.87

Lattice parameters (Å, degrees): 8.8016 8.8016 8.8016 148.94 148.94 44.51
Atoms (fractional coordinates):
1 Pr 0.0000 0.5000 0.5000
2 Pr 0.1794 0.1794 0.0000
3 Pr 0.5000 0.0000 0.5000
4 Pr 0.8206 0.8206 0.0000
5 P 0.3595 0.3595 0.0000
6 P 0.6405 0.6405 0.0000
7 N 0.5000 0.5000 0.0000



No. 2
Here is a relaxed structure of Fe4BW2 from Alexandria. Energies are from PBE-GGA.

- final energy (eV/f.u.) = -63.66
- spin magnetization (μB/f.u.) = 2.20
- ρ (g cm⁻³) = 11.73
- formation energy (meV per atom) = 397.1

Lattice parameters (Å, degrees): 6.8187 6.8187 6.8187 148.71 148.71 44.83
Atoms (fractional coordinates):
1 Fe 0.0000 0.5000 0.5000
2 Fe 0.1497 0.1497 0.0000
3 Fe 0.5000 0.0000 0.5000
4 Fe 0.8503 0.8503 0.0000
5 B 0.0000 0.0000 0.0000
6 W 0.3367 0.3367 0.0000
7 W 0.6633 0.6633 0.0000



No. 3
Here is a relaxed structure of Pu2MgTl from Alexandria. Energies are from PBE-GGA.

- final energy (eV/f.u.) = -32.58
- spin magnetization (μB/f.u.) = 11.53
- ρ (g cm⁻³) = 11.96
- formation energy (meV per atom) = 11.8

Lattice parameters (Å, degrees): 4.4032 4.4032 5.1324 90.00 90.00 90.00
Atoms (fractional coordinates):
1 Pu 0.0000 0.5000 0.0000
2 Pu 0.5000 0.0000 0.0000
3 Mg 0.0000 0.0000 0.5000
4 Tl 0.5000 0.5000 0.5000